[1]
Density functional theory data (PBE-GGA) for Y3HoIn4 after structural relaxation.

Properties
- ΔH_f (0 K): -3.90 eV per formula unit
- Space-group type: No. 123
- Energy: -4.853 eV/atom

Lattice parameters (Å, degrees): 3.7637 3.7637 15.0384 90.00 90.00 90.00
Sites, in units of the cell vectors:
Y 0.5000 0.5000 0.2487
Y 0.5000 0.5000 0.7513
Y 0.5000 0.5000 0.5000
In 0.0000 0.0000 0.8768
In 0.0000 0.0000 0.3743
In 0.0000 0.0000 0.6257
In 0.0000 0.0000 0.1232
Ho 0.5000 0.5000 0.0000

[2]
Density functional theory data (PBE-GGA) for CoOs3 after structural relaxation.

Properties
- ΔH_f (0 K): 0.28 eV per formula unit
- Space-group type: No. 25
- Energy: -10.128 eV/atom

Lattice parameters (Å, degrees): 2.7224 4.2399 4.6730 90.00 90.00 90.00
Last column: magnetic moment on the atom in μB.
Sites, in units of the cell vectors:
Os 0.5000 0.5000 0.8445  0.00
Os 0.5000 0.0000 0.5045  -0.02
Os 0.0000 0.5000 0.3211  -0.02
Co 0.0000 0.0000 0.9966  0.45